# DySiRh2 PBE relaxed
data_DySiRh2
_chemical_formula_sum 'Dy4 Si4 Rh8'
_symmetry_space_group_name_H-M 'C m m m'
_symmetry_Int_Tables_number 65
_symmetry_space_group_name_Hall '-C 2 2'
_cell_length_a 4.0805
_cell_length_b 17.4654
_cell_length_c 4.0132
_cell_angle_alpha 90.00
_cell_angle_beta 90.00
_cell_angle_gamma 90.00
loop_
_atom_site_label
_atom_site_fract_x
_atom_site_fract_y
_atom_site_fract_z
Dy1 0.0000 0.1461 0.0000
Si1 0.0000 0.4231 0.5000
Rh1 0.0000 0.0000 0.5000
Rh2 0.0000 0.2925 0.5000
Rh3 0.0000 0.5000 0.0000
# * M_tot: 0.000 μB/cell
# * formation energy without anion corrections: -944 meV per atom

=====

# HgPb2Br PBE relaxed
data_HgPb2Br
_chemical_formula_sum 'Hg2 Pb4 Br2'
_symmetry_space_group_name_H-M 'I 4/m m m'
_symmetry_Int_Tables_number 139
_symmetry_space_group_name_Hall '-I 4 2'
_cell_length_a 5.0065
_cell_length_b 5.0065
_cell_length_c 9.4197
_cell_angle_alpha 90.00
_cell_angle_beta 90.00
_cell_angle_gamma 90.00
loop_
_atom_site_label
_atom_site_fract_x
_atom_site_fract_y
_atom_site_fract_z
Hg1 0.0000 0.0000 0.0000
Pb1 0.0000 0.5000 0.2500
Br1 0.0000 0.0000 0.5000
# * E above lowest polymorph: 106 meV per atom
# * M_tot: 0.000 μB/cell
# * formation energy without anion corrections: -96 meV per atom

=====

# Li2MgInRe PBE relaxed
data_Li2MgInRe
_chemical_formula_sum 'Li2 Mg1 In1 Re1'
_symmetry_space_group_name_H-M 'P 4/m m m'
_symmetry_Int_Tables_number 123
_symmetry_space_group_name_Hall '-P 4 2'
_cell_length_a 4.8625
_cell_length_b 4.8625
_cell_length_c 5.2182
_cell_angle_alpha 90.00
_cell_angle_beta 90.00
_cell_angle_gamma 90.00
loop_
_atom_site_label
_atom_site_fract_x
_atom_site_fract_y
_atom_site_fract_z
Li1 0.0000 0.5000 0.0000
Mg1 0.0000 0.0000 0.5000
In1 0.5000 0.5000 0.5000
Re1 0.5000 0.5000 0.0000
# * E above lowest polymorph: 0 meV per atom
# * formation enthalpy at 0 K: 0.988 eV per atom
# * M_tot: 1.668 μB/cell

=====

# La2InSn4Pt3 PBE relaxed
data_La2InSn4Pt3
_chemical_formula_sum 'La2 In1 Sn4 Pt3'
_symmetry_space_group_name_H-M 'P -4 m 2'
_symmetry_Int_Tables_number 115
_cell_length_a 4.5655
_cell_length_b 4.5655
_cell_length_c 11.4755
_cell_angle_alpha 90.00
_cell_angle_beta 90.00
_cell_angle_gamma 90.00
loop_
_symmetry_equiv_pos_as_xyz
'x,y,z'
'y,-x,-z'
'-x,-y,z'
'-y,x,-z'
'-x,y,z'
'-y,-x,-z'
'x,-y,z'
'y,x,-z'
loop_
_atom_site_label
_atom_site_fract_x
_atom_site_fract_y
_atom_site_fract_z
La1 0.0000 0.5000 0.2444
In1 0.0000 0.0000 0.5000
Sn1 0.0000 0.0000 0.0000
Sn2 0.0000 0.5000 0.6457
Sn3 0.5000 0.5000 0.0000
Pt1 0.0000 0.5000 0.8727
Pt2 0.5000 0.5000 0.5000
# * formation enthalpy at 0 K: -0.786 eV per atom
# * M_tot: 0.000 μB/cell

=====

# Tb6Sm3Dy2In PBE relaxed
data_Tb6Sm3Dy2In
_chemical_formula_sum 'Tb12 Sm6 Dy4 In2'
_symmetry_space_group_name_H-M 'C 1 2/m 1'
_symmetry_Int_Tables_number 12
_cell_length_a 6.1367
_cell_length_b 10.6398
_cell_length_c 11.6875
_cell_angle_alpha 90.00
_cell_angle_beta 100.15
_cell_angle_gamma 90.00
loop_
_symmetry_equiv_pos_as_xyz
'x,y,z'
'-x,-y,-z'
'-x,y,-z'
'x,-y,z'
'x+1/2,y+1/2,z'
'-x+1/2,-y+1/2,-z'
'-x+1/2,y+1/2,-z'
'x+1/2,-y+1/2,z'
loop_
_atom_site_label
_atom_site_fract_x
_atom_site_fract_y
_atom_site_fract_z
Tb1 0.2445 0.1638 0.2444
Tb2 0.2467 0.0000 0.7541
Sm1 0.0000 0.1675 0.5000
Sm2 0.0000 0.5000 0.5000
Dy1 0.0000 0.3339 0.0000
In1 0.0000 0.0000 0.0000
# * formation enthalpy at 0 K: -0.041 eV per atom
# * M_tot: 0.002 μB/cell

=====

# Tm2TlBi PBE relaxed
data_Tm2TlBi
_chemical_formula_sum 'Tm8 Tl4 Bi4'
_symmetry_space_group_name_H-M 'F m -3 m'
_symmetry_Int_Tables_number 225
_symmetry_space_group_name_Hall '-F 4 2 3'
_cell_length_a 7.6295
_cell_length_b 7.6295
_cell_length_c 7.6295
_cell_angle_alpha 90.00
_cell_angle_beta 90.00
_cell_angle_gamma 90.00
loop_
_atom_site_label
_atom_site_fract_x
_atom_site_fract_y
_atom_site_fract_z
Tm1 0.2500 0.2500 0.2500
Tl1 0.0000 0.0000 0.0000
Bi1 0.0000 0.0000 0.5000
# * E above lowest polymorph: 74 meV per atom
# * formation enthalpy at 0 K: -0.346 eV per atom
# * M_tot: 0.000 μB/cell